Record 1
A relaxed Ba6IrSe2I3 crystal. Source: the Alexandria database, functional PBE.

Cell lengths 8.292, 8.292, 8.824 Å; angles 99.09, 99.09, 119.82 degrees
Last column: magnetic moment on the atom in μB.
Atoms (fractional coordinates):
Ba 0.933 0.621 0.799  0.10
Ba 0.753 0.753 0.205  0.10
Ba 0.067 0.379 0.201  0.10
Ba 0.621 0.933 0.799  0.10
Ba 0.247 0.247 0.795  0.10
Ba 0.379 0.067 0.201  0.10
Ir 0.000 0.000 0.000  -0.04
Se 0.334 0.666 0.000  0.00
Se 0.666 0.334 0.000  0.00
I 0.172 0.828 0.500  0.00
I 0.828 0.172 0.500  0.00
I 0.500 0.500 0.500  0.00

Uncorrected energy ... -48.98 eV per cell
V ... 41.6 Å³ per atom
Formation energy without anion corrections ... -1.41 eV/atom



Record 2
A relaxed RuPbSe crystal. Source: the Alexandria database, functional PBE.

Cell lengths 3.435, 3.435, 6.640 Å; angles 90.00, 90.00, 120.00 degrees
Atoms (fractional coordinates):
Pb 0.000 0.000 0.037
Ru 0.667 0.333 0.380
Se 0.333 0.667 0.584

Uncorrected energy ... -16.33 eV per cell
V ... 22.6 Å³ per atom
Formation energy without anion corrections ... 0.05 eV/atom



Record 3
A relaxed Ba2Ni3Ir crystal. Source: the Alexandria database, functional PBE.

Cell lengths 6.245, 6.784, 7.703 Å; angles 106.54, 90.00, 117.41 degrees
Last column: magnetic moment on the atom in μB.
Atoms (fractional coordinates):
Ba 0.315 0.654 0.412  -0.01
Ba 0.338 0.654 0.912  -0.01
Ba 0.662 0.346 0.088  -0.01
Ba 0.685 0.346 0.588  -0.01
Ni 0.804 0.000 0.750  0.18
Ni 0.196 0.000 0.250  0.18
Ni 0.916 0.803 0.953  0.23
Ni 0.113 0.197 0.547  0.23
Ni 0.887 0.803 0.453  0.23
Ni 0.084 0.197 0.047  0.23
Ir 0.811 0.000 0.250  0.25
Ir 0.189 0.000 0.750  0.25

Uncorrected energy ... -57.45 eV per cell
V ... 22.9 Å³ per atom
ΔE_f ... 0.22 eV/atom



Record 4
A relaxed Tm2ScCu crystal. Source: the Alexandria database, functional PBE.

Cell lengths 3.650, 5.057, 5.057 Å; angles 90.00, 90.00, 90.00 degrees
Atoms (fractional coordinates):
Sc 0.500 0.500 0.500
Tm 0.000 0.000 0.500
Tm 0.000 0.500 0.000
Cu 0.500 0.000 0.000

Uncorrected energy ... -19.19 eV per cell
V ... 23.3 Å³ per atom
ΔE_f ... 0.05 eV/atom



Record 5
A relaxed Rh2PbAu crystal. Source: the Alexandria database, functional PBE.

Cell lengths 5.001, 5.001, 5.001 Å; angles 130.97, 130.97, 71.85 degrees
Atoms (fractional coordinates):
Rh 0.000 0.000 0.000
Rh 0.250 0.750 0.500
Pb 0.750 0.250 0.500
Au 0.500 0.500 0.000

Uncorrected energy ... -20.96 eV per cell
V ... 17.4 Å³ per atom
ΔE_f ... 0.18 eV/atom



Record 6
A relaxed Ta3RePt crystal. Source: the Alexandria database, functional PBE.

Cell lengths 4.789, 4.789, 4.789 Å; angles 90.00, 90.00, 90.00 degrees
Atoms (fractional coordinates):
Re 0.000 0.000 0.000
Pt 0.500 0.500 0.500
Ta 0.000 0.500 0.000
Ta 0.000 0.000 0.500
Ta 0.500 0.000 0.000

Uncorrected energy ... -47.74 eV per cell
V ... 22.0 Å³ per atom
ΔE_f ... 1.26 eV/atom



Record 7
A relaxed Pm3CBr3 crystal. Source: the Alexandria database, functional PBE.

Cell lengths 7.740, 7.740, 8.530 Å; angles 108.27, 108.27, 103.36 degrees
Atoms (fractional coordinates):
Pm 0.990 0.990 0.203
Pm 0.811 0.504 0.789
Pm 0.504 0.811 0.789
Pm 0.189 0.496 0.211
Pm 0.496 0.189 0.211
Pm 0.010 0.010 0.797
C 0.814 0.814 0.888
C 0.186 0.186 0.112
Br 0.627 0.627 0.388
Br 0.165 0.835 0.500
Br 0.835 0.165 0.500
Br 0.281 0.719 0.000
Br 0.719 0.281 0.000
Br 0.373 0.373 0.612

Uncorrected energy ... -70.68 eV per cell
V ... 30.6 Å³ per atom
Formation energy without anion corrections ... -0.98 eV/atom



Record 8
A relaxed PmAl2Rh crystal. Source: the Alexandria database, functional PBE.

Cell lengths 4.226, 4.226, 5.842 Å; angles 68.79, 68.79, 60.00 degrees
Atoms (fractional coordinates):
Rh 0.500 0.500 0.500
Al 0.793 0.793 0.621
Al 0.207 0.207 0.379
Pm 0.000 0.000 0.000

Uncorrected energy ... -22.44 eV per cell
V ... 20.5 Å³ per atom
ΔE_f ... -0.71 eV/atom



Record 9
A relaxed PuHfPa6 crystal. Source: the Alexandria database, functional PBE.

Cell lengths 3.199, 7.810, 7.810 Å; angles 89.27, 90.00, 90.00 degrees
Last column: magnetic moment on the atom in μB.
Atoms (fractional coordinates):
Pu 0.000 0.844 0.156  4.99
Hf 0.500 0.582 0.418  -0.01
Pa 0.500 0.664 0.833  -0.07
Pa 0.500 0.167 0.336  -0.07
Pa 0.500 0.089 0.911  -0.04
Pa 0.000 0.905 0.580  -0.06
Pa 0.000 0.420 0.095  -0.06
Pa 0.000 0.329 0.671  -0.05

Uncorrected energy ... -80.84 eV per cell
V ... 24.4 Å³ per atom
ΔE_f ... 0.05 eV/atom



Record 10
A relaxed MnRh2Br crystal. Source: the Alexandria database, functional PBE.

Cell lengths 3.095, 3.510, 6.964 Å; angles 89.79, 90.00, 90.00 degrees
Last column: magnetic moment on the atom in μB.
Atoms (fractional coordinates):
Br 0.000 0.497 0.508  0.00
Mn 0.500 0.504 0.806  3.84
Rh 0.000 0.000 0.013  0.11
Rh 0.500 0.499 0.173  -0.05

Uncorrected energy ... -24.64 eV per cell
V ... 18.9 Å³ per atom
Formation energy without anion corrections ... 0.23 eV/atom



Record 11
A relaxed Pm4Al2TlZn crystal. Source: the Alexandria database, functional PBE.

Cell lengths 5.300, 5.300, 9.175 Å; angles 73.21, 73.21, 60.00 degrees
Atoms (fractional coordinates):
Pm 0.380 0.380 0.861
Pm 0.871 0.871 0.388
Pm 0.129 0.129 0.612
Pm 0.620 0.620 0.139
Al 0.749 0.749 0.752
Al 0.251 0.251 0.248
Tl 0.000 0.000 0.000
Zn 0.500 0.500 0.500

Uncorrected energy ... -32.93 eV per cell
V ... 26.3 Å³ per atom
ΔE_f ... -0.35 eV/atom



Record 12
A relaxed Sm3Ho2TmSe6 crystal. Source: the Alexandria database, functional PBE.

Cell lengths 7.075, 7.075, 7.202 Å; angles 99.40, 99.40, 120.30 degrees
Atoms (fractional coordinates):
Sm 0.169 0.831 0.500
Sm 0.831 0.169 0.500
Sm 0.500 0.500 0.500
Ho 0.333 0.667 0.000
Ho 0.667 0.333 0.000
Tm 0.000 0.000 0.000
Se 0.921 0.590 0.763
Se 0.749 0.749 0.238
Se 0.079 0.410 0.237
Se 0.590 0.921 0.763
Se 0.251 0.251 0.762
Se 0.410 0.079 0.237

Uncorrected energy ... -69.87 eV per cell
V ... 24.5 Å³ per atom
Formation energy without anion corrections ... -1.77 eV/atom



Record 13
A relaxed TbNdNiPt crystal. Source: the Alexandria database, functional PBE.

Cell lengths 4.971, 4.971, 4.971 Å; angles 60.00, 60.00, 60.00 degrees
Atoms (fractional coordinates):
Nd 0.500 0.500 0.500
Tb 0.000 0.000 0.000
Pt 0.750 0.750 0.750
Ni 0.250 0.250 0.250

Uncorrected energy ... -24.01 eV per cell
V ... 21.7 Å³ per atom
ΔE_f ... -0.70 eV/atom



Record 14
A relaxed Nd2InHg4 crystal. Source: the Alexandria database, functional PBE.

Cell lengths 5.205, 5.205, 8.876 Å; angles 72.95, 72.95, 60.00 degrees
Atoms (fractional coordinates):
Nd 0.745 0.745 0.765
Nd 0.255 0.255 0.235
Hg 0.869 0.869 0.392
Hg 0.131 0.131 0.608
Hg 0.614 0.614 0.157
Hg 0.386 0.386 0.843
In 0.000 0.000 0.000

Uncorrected energy ... -15.85 eV per cell
V ... 28.0 Å³ per atom
ΔE_f ... -0.34 eV/atom



Record 15
A relaxed TbHoTm14 crystal. Source: the Alexandria database, functional PBE.

Cell lengths 6.829, 6.829, 10.908 Å; angles 90.00, 90.00, 107.78 degrees
Atoms (fractional coordinates):
Tb 0.696 0.304 0.500
Ho 0.143 0.857 0.500
Tm 0.106 0.894 0.000
Tm 0.555 0.445 0.000
Tm 0.212 0.379 0.500
Tm 0.039 0.370 0.000
Tm 0.621 0.788 0.500
Tm 0.630 0.961 0.000
Tm 0.415 0.166 0.751
Tm 0.415 0.166 0.249
Tm 0.834 0.585 0.751
Tm 0.834 0.585 0.249
Tm 0.346 0.654 0.769
Tm 0.346 0.654 0.231
Tm 0.903 0.097 0.733
Tm 0.903 0.097 0.267

Uncorrected energy ... -70.84 eV per cell
V ... 30.3 Å³ per atom
ΔE_f ... 0.06 eV/atom



Record 16
A relaxed Sr2NiGe4Rh3 crystal. Source: the Alexandria database, functional PBE.

Cell lengths 4.346, 4.346, 10.095 Å; angles 90.00, 90.00, 90.00 degrees
Atoms (fractional coordinates):
Sr 0.500 0.000 0.252
Sr 0.000 0.500 0.748
Ni 0.500 0.500 0.500
Ge 0.500 0.500 0.000
Ge 0.000 0.000 0.000
Ge 0.500 0.000 0.619
Ge 0.000 0.500 0.381
Rh 0.000 0.000 0.500
Rh 0.500 0.000 0.874
Rh 0.000 0.500 0.126

Uncorrected energy ... -55.97 eV per cell
V ... 19.1 Å³ per atom
ΔE_f ... -0.63 eV/atom



Record 17
A relaxed BeWSe3 crystal. Source: the Alexandria database, functional PBE.

Cell lengths 4.505, 4.505, 4.505 Å; angles 90.00, 90.00, 90.00 degrees
Last column: magnetic moment on the atom in μB.
Atoms (fractional coordinates):
Be 0.000 0.000 0.000  0.03
Se 0.000 0.500 0.000  -0.23
Se 0.000 0.000 0.500  -0.16
Se 0.500 0.000 0.000  -0.16
W 0.500 0.500 0.500  2.31

Uncorrected energy ... -22.80 eV per cell
V ... 18.3 Å³ per atom
Formation energy without anion corrections ... 0.87 eV/atom



Record 18
A relaxed Zr3Co2Si4 crystal. Source: the Alexandria database, functional PBE.

Cell lengths 3.889, 5.367, 7.556 Å; angles 107.15, 90.00, 111.24 degrees
Atoms (fractional coordinates):
Zr 0.623 0.246 0.695
Zr 0.000 0.000 0.000
Zr 0.377 0.754 0.305
Co 0.690 0.380 0.365
Co 0.310 0.620 0.635
Si 0.715 0.430 0.076
Si 0.285 0.570 0.924
Si 0.911 0.822 0.596
Si 0.089 0.178 0.404

Uncorrected energy ... -68.91 eV per cell
V ... 15.5 Å³ per atom
Formation energy without anion corrections ... -0.82 eV/atom



Record 19
A relaxed Na4ClF2 crystal. Source: the Alexandria database, functional PBE.

Cell lengths 5.059, 5.059, 7.408 Å; angles 70.03, 70.03, 90.00 degrees
Atoms (fractional coordinates):
Na 0.773 0.773 0.454
Na 0.227 0.227 0.546
Na 0.000 0.500 0.000
Na 0.500 0.000 0.000
F 0.609 0.609 0.781
F 0.391 0.391 0.219
Cl 0.000 0.000 0.000

Uncorrected energy ... -22.75 eV per cell
V ... 23.7 Å³ per atom
Formation energy without anion corrections ... -1.70 eV/atom



Record 20
A relaxed CuTe2As crystal. Source: the Alexandria database, functional PBE.

Cell lengths 6.317, 6.317, 6.317 Å; angles 146.59, 135.35, 56.90 degrees
Atoms (fractional coordinates):
As 0.409 0.409 0.000
Cu 0.252 0.752 0.500
Te 0.073 0.073 0.000
Te 0.766 0.266 0.500

Uncorrected energy ... -14.18 eV per cell
V ... 24.2 Å³ per atom
Formation energy without anion corrections ... 0.21 eV/atom



Record 21
A relaxed ScNbTcHg2 crystal. Source: the Alexandria database, functional PBE.

Cell lengths 5.125, 4.455, 5.125 Å; angles 90.00, 90.00, 90.00 degrees
Atoms (fractional coordinates):
Sc 0.000 0.000 0.000
Nb 0.500 0.500 0.500
Hg 0.000 0.000 0.500
Hg 0.500 0.000 0.000
Tc 0.000 0.500 0.000

Uncorrected energy ... -20.32 eV per cell
V ... 23.4 Å³ per atom
ΔE_f ... 1.41 eV/atom



Record 22
A relaxed SrHgP2 crystal. Source: the Alexandria database, functional PBE.

Cell lengths 6.045, 6.045, 4.392 Å; angles 108.12, 108.12, 43.11 degrees
Atoms (fractional coordinates):
Hg 0.209 0.209 0.182
P 0.967 0.967 0.870
P 0.802 0.802 0.013
Sr 0.521 0.521 0.434

Uncorrected energy ... -14.34 eV per cell
V ... 25.8 Å³ per atom
ΔE_f ... -0.39 eV/atom



Record 23
A relaxed TbCeCoRu crystal. Source: the Alexandria database, functional PBE.

Cell lengths 4.820, 4.820, 4.820 Å; angles 60.00, 60.00, 60.00 degrees
Last column: magnetic moment on the atom in μB.
Atoms (fractional coordinates):
Ru 0.500 0.500 0.500  0.17
Tb 0.750 0.750 0.750  -0.09
Ce 0.250 0.250 0.250  -0.28
Co 0.000 0.000 0.000  0.81

Uncorrected energy ... -27.82 eV per cell
V ... 19.8 Å³ per atom
ΔE_f ... -0.22 eV/atom



Record 24
A relaxed K2NdTiO4 crystal. Source: the Alexandria database, functional PBE.

Cell lengths 5.911, 5.911, 5.911 Å; angles 94.84, 117.25, 117.25 degrees
Last column: magnetic moment on the atom in μB.
Atoms (fractional coordinates):
K 0.500 0.750 0.250  0.01
K 0.000 0.000 0.000  0.01
Nd 0.500 0.250 0.750  0.01
Ti 0.000 0.500 0.500  0.57
O 0.601 0.353 0.433  0.00
O 0.080 0.248 0.647  0.00
O 0.920 0.567 0.168  0.00
O 0.399 0.832 0.752  0.00

Uncorrected energy ... -53.96 eV per cell
V ... 18.9 Å³ per atom
Formation energy without anion corrections ... -2.41 eV/atom



Record 25
A relaxed K3Ac3InTe8 crystal. Source: the Alexandria database, functional PBE.

Cell lengths 9.447, 9.458, 10.076 Å; angles 118.05, 90.00, 119.96 degrees
Atoms (fractional coordinates):
K 0.000 0.000 0.000
K 0.000 0.500 0.000
K 0.500 0.500 0.000
Ac 0.500 0.000 0.500
Ac 0.500 0.500 0.500
Ac 0.000 0.500 0.500
In 0.000 0.000 0.500
Te 0.258 0.517 0.275
Te 0.742 0.483 0.725
Te 0.776 0.553 0.290
Te 0.224 0.447 0.710
Te 0.776 0.014 0.290
Te 0.224 0.986 0.710
Te 0.239 0.014 0.290
Te 0.761 0.986 0.710

Uncorrected energy ... -60.54 eV per cell
V ... 43.7 Å³ per atom
Formation energy without anion corrections ... -1.14 eV/atom